VASP calculation (PBE) on an optimized crystal structure of La2Pr2Dy7.

a = 8.1883 Å, b = 10.5882 Å, c = 8.1883 Å
α = 126.35°, β = 88.70°, γ = 53.65°
Atoms (fractional coordinates):
La1 0.7107 0.0000 0.7107
La2 0.2893 0.0000 0.2893
Pr1 0.2160 0.6858 0.7840
Pr2 0.7840 0.3142 0.2160
Dy1 0.2377 0.6720 0.2366
Dy2 0.7634 0.6720 0.7623
Dy3 0.6589 0.0769 0.3411
Dy4 0.0000 0.5000 0.0000
Dy5 0.3411 0.9231 0.6589
Dy6 0.7623 0.3280 0.7634
Dy7 0.2366 0.3280 0.2377

Calculated values
As for the formation energy from the elements: 0.151 eV per atom. As for the total energy: -50.0 eV/cell.